1.
Below is an optimized crystal structure of MoWBr, with properties calculated at the PBE-GGA level.

Cell: 3.256 5.281 13.317 Å, 90.00 90.00 90.00°
Space group Fmm2 (No. 42)
Asymmetric unit:
Mo1 0.000 0.000 0.000
W1 0.000 0.000 0.363
Br1 0.000 0.000 0.681

Polymorph energy (0 for the lowest one): 248 meV/atom
Uncorrected formation energy: 704 meV per atom

2.
Below is an optimized crystal structure of CsBe2GaGe, with properties calculated at the PBE-GGA level.

Cell: 4.509 4.509 6.069 Å, 90.00 90.00 90.00°
Space group P4/mmm (No. 123)
Asymmetric unit:
Cs1 0.000 0.000 0.000
Be1 0.000 0.500 0.500
Ga1 0.500 0.500 0.000
Ge1 0.500 0.500 0.500

Formation energy from the elements: 75.3 kJ/mol of atoms

3.
Below is an optimized crystal structure of MgBiPd, with properties calculated at the PBE-GGA level.

Cell: 3.411 3.411 11.124 Å, 90.00 90.00 90.00°
Space group I4mm (No. 107)
Asymmetric unit:
Mg1 0.000 0.000 0.000
Bi1 0.000 0.000 0.709
Pd1 0.000 0.000 0.379

Formation energy from the elements: -33.9 kJ/mol of atoms

4.
Below is an optimized crystal structure of MgTePb2, with properties calculated at the PBE-GGA level.

Cell: 15.596 4.041 4.027 Å, 90.00 93.12 90.00°
Space group C2/m (No. 12)
Asymmetric unit:
Mg1 0.000 0.000 0.000
Te1 0.000 0.500 0.500
Pb1 0.192 0.000 0.722

Polymorph energy (0 for the lowest one): 46 meV/atom
Uncorrected formation energy: -152 meV per atom

5.
Below is an optimized crystal structure of Al3Ni12Sb, with properties calculated at the PBE-GGA level.

Cell: 3.618 3.618 14.346 Å, 90.00 90.00 90.00°
Space group P4/mmm (No. 123)
Asymmetric unit:
Al1 0.000 0.000 0.000
Al2 0.000 0.000 0.242
Ni1 0.000 0.500 0.122
Ni2 0.000 0.500 0.366
Ni3 0.500 0.500 0.000
Ni4 0.500 0.500 0.245
Ni5 0.500 0.500 0.500
Sb1 0.000 0.000 0.500

Uncorrected formation energy: -362 meV per atom

6.
Below is an optimized crystal structure of CoCu2Os, with properties calculated at the PBE-GGA level.

Cell: 2.717 4.380 8.625 Å, 90.00 90.00 90.00°
Space group Cmm2 (No. 35)
Asymmetric unit:
Co1 0.000 0.000 0.000
Cu1 0.000 0.000 0.487
Cu2 0.000 0.500 0.244
Os1 0.000 0.500 0.753

Polymorph energy (0 for the lowest one): 134 meV/atom
Formation energy from the elements: 29.7 kJ/mol of atoms

7.
Below is an optimized crystal structure of ScOsC3, with properties calculated at the PBE-GGA level.

Cell: 3.956 3.956 3.956 Å, 90.00 90.00 90.00°
Space group Pm-3m (No. 221)
Asymmetric unit:
Sc1 0.000 0.000 0.000
Os1 0.500 0.500 0.500
C1 0.000 0.500 0.500

Polymorph energy (0 for the lowest one): 0 meV/atom
Formation energy from the elements: 115.6 kJ/mol of atoms

8.
Below is an optimized crystal structure of Mg6CdPt2, with properties calculated at the PBE-GGA level.

Cell: 9.923 4.838 8.737 Å, 90.00 124.19 90.00°
Space group C2/m (No. 12)
Asymmetric unit:
Mg1 0.092 0.000 0.408
Mg2 0.162 0.500 0.669
Mg3 0.192 0.500 0.053
Cd1 0.000 0.000 0.000
Pt1 0.096 0.500 0.286

Polymorph energy (0 for the lowest one): 40 meV/atom
Formation energy from the elements: -42.7 kJ/mol of atoms

9.
Below is an optimized crystal structure of LiSi3Mo, with properties calculated at the PBE-GGA level.

Cell: 4.271 4.271 4.271 Å, 90.00 90.00 90.00°
Space group Pm-3m (No. 221)
Asymmetric unit:
Li1 0.000 0.000 0.000
Si1 0.000 0.000 0.500
Mo1 0.500 0.500 0.500

Polymorph energy (0 for the lowest one): 768 meV/atom
Uncorrected formation energy: 1098 meV per atom

10.
Below is an optimized crystal structure of K6Sb2H18S8O9, with properties calculated at the PBE-GGA level.

Cell: 13.334 7.945 13.789 Å, 90.00 94.54 90.00°
Space group Pc (No. 7)
Asymmetric unit:
K1 0.000 0.054 0.000
K2 0.304 0.313 0.102
K3 0.437 0.199 0.691
K4 0.563 0.306 0.918
K5 0.688 0.192 0.503
K6 0.979 0.430 0.667
Sb1 0.264 0.249 0.434
Sb2 0.737 0.247 0.173
H1 0.027 0.357 0.448
H2 0.091 0.201 0.219
H3 0.095 0.086 0.800
H4 0.192 0.447 0.754
H5 0.200 0.330 0.661
H6 0.303 0.332 0.888
H7 0.319 0.140 0.869
H8 0.441 0.419 0.308
H9 0.497 0.106 0.387
H10 0.500 0.385 0.217
H11 0.558 0.073 0.296
H12 0.681 0.370 0.740
H13 0.695 0.178 0.720
H14 0.793 0.168 0.944
H15 0.805 0.051 0.851
H16 0.913 0.324 0.421
H17 0.975 0.164 0.198
H18 0.978 0.080 0.776
S1 0.168 0.497 0.414
S2 0.222 0.094 0.571
S3 0.240 0.080 0.292
S4 0.435 0.330 0.463
S5 0.567 0.162 0.142
S6 0.767 0.414 0.313
S7 0.783 0.398 0.037
S8 0.831 0.009 0.689
O1 0.030 0.234 0.177
O2 0.033 0.150 0.807
O3 0.188 0.447 0.682
O4 0.356 0.244 0.890
O5 0.453 0.466 0.243
O6 0.544 0.024 0.360
O7 0.643 0.267 0.719
O8 0.802 0.050 0.922
O9 0.969 0.292 0.469

VASP energy: -4.544 eV/atom

11.
Below is an optimized crystal structure of SrHg2PdF8, with properties calculated at the PBE-GGA level.

Cell: 4.149 5.667 8.147 Å, 85.04 89.82 87.86°
Space group P-1 (No. 2)
Asymmetric unit:
Sr1 0.000 0.000 0.000
Hg1 0.477 0.480 0.252
Pd1 0.000 0.000 0.500
F1 0.035 0.353 0.786
F2 0.105 0.147 0.276
F3 0.352 0.742 0.494
F4 0.489 0.752 0.980

Uncorrected formation energy: -1974 meV per atom